# UZn2FeO6, relaxed, DFT GGA+U
data_UZn2FeO6
_chemical_formula_sum 'U1 Zn2 Fe1 O6'
_symmetry_space_group_name_H-M 'P -1'
_symmetry_Int_Tables_number 2
_cell_length_a 5.3254
_cell_length_b 5.3946
_cell_length_c 5.8192
_cell_angle_alpha 90.66
_cell_angle_beta 116.52
_cell_angle_gamma 119.32
loop_
_symmetry_equiv_pos_as_xyz
'x,y,z'
'-x,-y,-z'
loop_
_atom_site_label
_atom_site_type_symbol
_atom_site_fract_x
_atom_site_fract_y
_atom_site_fract_z
U1 U 0.0000 0.0000 0.0000
Zn1 Zn 0.4326 0.2175 0.6359
Fe1 Fe 0.0000 0.5000 0.5000
O1 O 0.1321 0.2247 0.7442
O2 O 0.1589 0.3885 0.2690
O3 O 0.4856 0.0977 0.2658
# Size of the total moment = 4.00 Bohr magnetons per cell
# Calculated volume = 124.6 Å³/cell
# VASP energy = -69.709 eV for the cell shown